No. 1
Here is a PBEsol-optimized structure of Rb2IF from Alexandria. Energies are from meta-GGA SCAN.

**DOS at the Fermi energy**: 0.00 states/eV per cell
**Uncorrected formation energy**: -210.9 kJ per mole of atoms
**SG**: No. 122

Cell lengths 8.118, 8.118, 8.918 Å; angles 90.00, 90.00, 90.00 degrees
Sites, in units of the cell vectors:
Rb 0.157 0.750 0.125
Rb 0.250 0.157 0.875
Rb 0.250 0.343 0.375
Rb 0.343 0.750 0.625
Rb 0.657 0.250 0.625
Rb 0.750 0.657 0.375
Rb 0.750 0.843 0.875
Rb 0.843 0.250 0.125
I 0.000 0.000 0.500
I 0.000 0.500 0.750
I 0.500 0.000 0.250
I 0.500 0.500 0.000
F 0.000 0.000 0.000
F 0.000 0.500 0.250
F 0.500 0.000 0.750
F 0.500 0.500 0.500


No. 2
Here is a PBEsol-optimized structure of RbI3F from Alexandria. Energies are from meta-GGA SCAN.

**DOS at the Fermi energy**: 4.28 states/eV per cell
**Uncorrected formation energy**: -58.8 kJ per mole of atoms
**SG**: No. 221

Cell lengths 5.390, 5.390, 5.390 Å; angles 90.00, 90.00, 90.00 degrees
Sites, in units of the cell vectors:
Rb 0.000 0.000 0.000
I 0.000 0.500 0.500
I 0.500 0.000 0.500
I 0.500 0.500 0.000
F 0.500 0.500 0.500


No. 3
Here is a PBEsol-optimized structure of RbSb2IF from Alexandria. Energies are from meta-GGA SCAN.

**DOS at the Fermi energy**: 3.21 states/eV per cell
**Uncorrected formation energy**: -50.4 kJ per mole of atoms
**SG**: No. 123

Cell lengths 4.762, 4.762, 6.725 Å; angles 90.00, 90.00, 90.00 degrees
Sites, in units of the cell vectors:
Rb 0.000 0.000 0.000
Sb 0.000 0.500 0.500
Sb 0.500 0.000 0.500
I 0.500 0.500 0.000
F 0.500 0.500 0.500


No. 4
Here is a PBEsol-optimized structure of ReIF2 from Alexandria. Energies are from meta-GGA SCAN.

**DOS at the Fermi energy**: 4.31 states/eV per cell
**Uncorrected formation energy**: 31.6 kJ per mole of atoms
**SG**: No. 225

Cell lengths 6.253, 6.253, 6.253 Å; angles 90.00, 90.00, 90.00 degrees
Sites, in units of the cell vectors:
Re 0.000 0.000 0.000
Re 0.000 0.500 0.500
Re 0.500 0.000 0.500
Re 0.500 0.500 0.000
I 0.000 0.000 0.500
I 0.000 0.500 0.000
I 0.500 0.000 0.000
I 0.500 0.500 0.500
F 0.250 0.250 0.250
F 0.250 0.250 0.750
F 0.250 0.750 0.250
F 0.250 0.750 0.750
F 0.750 0.250 0.250
F 0.750 0.250 0.750
F 0.750 0.750 0.250
F 0.750 0.750 0.750


No. 5
Here is a PBEsol-optimized structure of Rh3IF from Alexandria. Energies are from meta-GGA SCAN.

**DOS at the Fermi energy**: 3.53 states/eV per cell
**Uncorrected formation energy**: 71.7 kJ per mole of atoms
**SG**: No. 221

Cell lengths 4.320, 4.320, 4.320 Å; angles 90.00, 90.00, 90.00 degrees
Sites, in units of the cell vectors:
Rh 0.000 0.000 0.500
Rh 0.000 0.500 0.000
Rh 0.500 0.000 0.000
I 0.500 0.500 0.500
F 0.000 0.000 0.000


No. 6
Here is a PBEsol-optimized structure of RhI2F from Alexandria. Energies are from meta-GGA SCAN.

**DOS at the Fermi energy**: 13.99 states/eV per cell
**Uncorrected formation energy**: -7.4 kJ per mole of atoms
**SG**: No. 225

Cell lengths 6.640, 6.640, 6.640 Å; angles 90.00, 90.00, 90.00 degrees
Sites, in units of the cell vectors:
Rh 0.000 0.000 0.000
Rh 0.000 0.500 0.500
Rh 0.500 0.000 0.500
Rh 0.500 0.500 0.000
I 0.250 0.250 0.250
I 0.250 0.250 0.750
I 0.250 0.750 0.250
I 0.250 0.750 0.750
I 0.750 0.250 0.250
I 0.750 0.250 0.750
I 0.750 0.750 0.250
I 0.750 0.750 0.750
F 0.000 0.000 0.500
F 0.000 0.500 0.000
F 0.500 0.000 0.000
F 0.500 0.500 0.500